Record 1
LaCoRh2: relaxed, PBE.

Values from the calculation:
The calculation puts the magnetization at 1.59 μB/f.u. The calculated total energy is -27.7 eV/f.u. Its excess energy over the best structure of this formula in the dataset is 2 kJ/mol of formula units.

Cell and atoms, written as CIF:
```
data_LaCoRh2
_cell_length_a 4.383
_cell_length_b 4.383
_cell_length_c 5.466
_cell_angle_alpha 66.36
_cell_angle_beta 66.36
_cell_angle_gamma 60.01
_space_group_name_H-M_alt 'P 1'
_space_group_IT_number 1
loop_
_space_group_symop_operation_xyz
'x,y,z'
loop_
_atom_site_label
_atom_site_type_symbol
_atom_site_fract_x
_atom_site_fract_y
_atom_site_fract_z
Rh1 Rh 0.061 0.061 0.816
Rh2 Rh 0.753 0.753 0.742
La1 La 0.250 0.250 0.249
Co1 Co 0.436 0.436 0.693
```

***

Record 2
LiMoPd3: relaxed, PBE.

Values from the calculation:
The calculation puts the magnetization at 3.12 μB/f.u. The calculated total energy is -25.8 eV/f.u. Its excess energy over the best structure of this formula in the dataset is 0 kJ/mol of formula units.

Cell and atoms, written as CIF:
```
data_LiMoPd3
_cell_length_a 4.237
_cell_length_b 4.237
_cell_length_c 4.237
_cell_angle_alpha 90.00
_cell_angle_beta 90.00
_cell_angle_gamma 90.00
_space_group_name_H-M_alt 'P 1'
_space_group_IT_number 1
loop_
_space_group_symop_operation_xyz
'x,y,z'
loop_
_atom_site_label
_atom_site_type_symbol
_atom_site_fract_x
_atom_site_fract_y
_atom_site_fract_z
Pd1 Pd 0.000 0.000 0.500
Pd2 Pd 0.500 0.000 0.000
Li1 Li 0.000 0.000 0.000
Mo1 Mo 0.500 0.500 0.500
Pd3 Pd 0.000 0.500 0.000
```

***

Record 3
CeAl8Co2: relaxed, PBE.

Values from the calculation:
The calculation puts the magnetization at 0.59 μB/f.u. The calculated total energy is -55.3 eV/f.u. Its excess energy over the best structure of this formula in the dataset is 0 kJ/mol of formula units.

Cell and atoms, written as CIF:
```
data_CeAl8Co2
_cell_length_a 3.995
_cell_length_b 12.397
_cell_length_c 14.359
_cell_angle_alpha 90.00
_cell_angle_beta 90.00
_cell_angle_gamma 90.00
_space_group_name_H-M_alt 'P 1'
_space_group_IT_number 1
loop_
_space_group_symop_operation_xyz
'x,y,z'
loop_
_atom_site_label
_atom_site_type_symbol
_atom_site_fract_x
_atom_site_fract_y
_atom_site_fract_z
Al1 Al 0.000 0.000 0.000
Al2 Al 0.500 0.500 0.000
Al3 Al 0.500 0.831 0.009
Al4 Al 0.500 0.952 0.321
Al5 Al 0.500 0.524 0.368
Al6 Al 0.500 0.048 0.679
Al7 Al 0.500 0.264 0.673
Co1 Co 0.000 0.465 0.905
Al8 Al 0.500 0.669 0.509
Al9 Al 0.500 0.840 0.621
Ce1 Ce 0.000 0.159 0.819
Al10 Al 0.500 0.236 0.173
Al11 Al 0.500 0.024 0.132
Co2 Co 0.000 0.535 0.095
Ce2 Ce 0.000 0.659 0.681
Al12 Al 0.500 0.764 0.827
Co3 Co 0.000 0.652 0.403
Al13 Al 0.000 0.841 0.456
Al14 Al 0.000 0.659 0.956
Al15 Al 0.000 0.341 0.044
Al16 Al 0.500 0.000 0.500
Al17 Al 0.000 0.596 0.247
Al18 Al 0.000 0.404 0.753
Al19 Al 0.500 0.736 0.327
Co4 Co 0.000 0.848 0.903
Ce3 Ce 0.000 0.841 0.181
Co5 Co 0.000 0.965 0.595
Al20 Al 0.500 0.452 0.179
Co6 Co 0.000 0.035 0.405
Al21 Al 0.500 0.340 0.879
Al22 Al 0.000 0.904 0.747
Al23 Al 0.500 0.476 0.632
Al24 Al 0.500 0.548 0.821
Al25 Al 0.000 0.159 0.544
Al26 Al 0.000 0.096 0.253
Ce4 Ce 0.000 0.341 0.319
Al27 Al 0.500 0.169 0.991
Al28 Al 0.500 0.976 0.868
Co7 Co 0.000 0.348 0.597
Al29 Al 0.000 0.500 0.500
Al30 Al 0.500 0.660 0.121
Al31 Al 0.500 0.160 0.379
Co8 Co 0.000 0.152 0.097
Al32 Al 0.500 0.331 0.491
```

***

Record 4
KAgPt2: relaxed, PBE.

Values from the calculation:
The calculation puts the magnetization at 0.00 μB/f.u. The calculated total energy is -14.4 eV/f.u.

Cell and atoms, written as CIF:
```
data_KAgPt2
_cell_length_a 4.930
_cell_length_b 4.930
_cell_length_c 4.930
_cell_angle_alpha 125.00
_cell_angle_beta 125.00
_cell_angle_gamma 81.54
_space_group_name_H-M_alt 'P 1'
_space_group_IT_number 1
loop_
_space_group_symop_operation_xyz
'x,y,z'
loop_
_atom_site_label
_atom_site_type_symbol
_atom_site_fract_x
_atom_site_fract_y
_atom_site_fract_z
K1 K 0.750 0.250 0.500
Ag1 Ag 0.500 0.500 0.000
Pt1 Pt 0.000 0.000 0.000
Pt2 Pt 0.250 0.750 0.500
```

***

Record 5
Ca2PuUN5: relaxed, PBE.

Values from the calculation:
The calculation puts the magnetization at 3.00 μB/f.u. The calculated total energy is -80.3 eV/f.u. The value obtained for the energy relative to the elements, uncorrected is -1.0069 eV per atom.

Cell and atoms, written as CIF:
```
data_Ca2PuUN5
_cell_length_a 4.072
_cell_length_b 4.072
_cell_length_c 8.586
_cell_angle_alpha 90.00
_cell_angle_beta 90.00
_cell_angle_gamma 90.00
_space_group_name_H-M_alt 'P 1'
_space_group_IT_number 1
loop_
_space_group_symop_operation_xyz
'x,y,z'
loop_
_atom_site_label
_atom_site_type_symbol
_atom_site_fract_x
_atom_site_fract_y
_atom_site_fract_z
N1 N 0.500 0.500 0.000
N2 N 0.000 0.000 0.772
Pu1 Pu 0.000 0.000 0.000
U1 U 0.000 0.000 0.500
N3 N 0.000 0.500 0.500
Ca1 Ca 0.500 0.500 0.731
N4 N 0.000 0.000 0.228
Ca2 Ca 0.500 0.500 0.269
N5 N 0.500 0.000 0.500
```

***

Record 6
ZrHgSb3: relaxed, PBE.

Values from the calculation:
The calculation puts the magnetization at 0.00 μB/f.u. The calculated total energy is -20.3 eV/f.u. The value obtained for the energy relative to the elements, uncorrected is 0.1823 eV per atom.

Cell and atoms, written as CIF:
```
data_ZrHgSb3
_cell_length_a 5.561
_cell_length_b 5.561
_cell_length_c 5.561
_cell_angle_alpha 90.00
_cell_angle_beta 90.00
_cell_angle_gamma 90.00
_space_group_name_H-M_alt 'P 1'
_space_group_IT_number 1
loop_
_space_group_symop_operation_xyz
'x,y,z'
loop_
_atom_site_label
_atom_site_type_symbol
_atom_site_fract_x
_atom_site_fract_y
_atom_site_fract_z
Zr1 Zr 0.000 0.000 0.000
Hg1 Hg 0.500 0.500 0.500
Sb1 Sb 0.500 0.000 0.000
Sb2 Sb 0.000 0.000 0.500
Sb3 Sb 0.000 0.500 0.000
```

***

Record 7
NpPaIrRu: relaxed, PBE.

Values from the calculation:
The calculation puts the magnetization at 2.44 μB/f.u. The calculated total energy is -41.9 eV/f.u. Its excess energy over the best structure of this formula in the dataset is 0 kJ/mol of formula units.

Cell and atoms, written as CIF:
```
data_NpPaIrRu
_cell_length_a 4.668
_cell_length_b 4.668
_cell_length_c 4.668
_cell_angle_alpha 60.00
_cell_angle_beta 60.00
_cell_angle_gamma 60.00
_space_group_name_H-M_alt 'P 1'
_space_group_IT_number 1
loop_
_space_group_symop_operation_xyz
'x,y,z'
loop_
_atom_site_label
_atom_site_type_symbol
_atom_site_fract_x
_atom_site_fract_y
_atom_site_fract_z
Ru1 Ru 0.000 0.000 0.000
Np1 Np 0.750 0.750 0.750
Ir1 Ir 0.250 0.250 0.250
Pa1 Pa 0.500 0.500 0.500
```

***

Record 8
ReSbBr2: relaxed, PBE.

Values from the calculation:
The calculation puts the magnetization at 2.09 μB/f.u. The calculated total energy is -15.8 eV/f.u. Its excess energy over the best structure of this formula in the dataset is 301 kJ/mol of formula units. The value obtained for the energy relative to the elements, uncorrected is 1.0197 eV per atom.

Cell and atoms, written as CIF:
```
data_ReSbBr2
_cell_length_a 4.990
_cell_length_b 4.990
_cell_length_c 4.990
_cell_angle_alpha 60.00
_cell_angle_beta 60.00
_cell_angle_gamma 60.00
_space_group_name_H-M_alt 'P 1'
_space_group_IT_number 1
loop_
_space_group_symop_operation_xyz
'x,y,z'
loop_
_atom_site_label
_atom_site_type_symbol
_atom_site_fract_x
_atom_site_fract_y
_atom_site_fract_z
Re1 Re 0.500 0.500 0.500
Br1 Br 0.750 0.750 0.750
Sb1 Sb 0.250 0.250 0.250
Br2 Br 0.000 0.000 0.000
```

***

Record 9
PrEuHoTl: relaxed, PBE.

Values from the calculation:
The calculation puts the magnetization at 7.68 μB/f.u. The calculated total energy is -22.2 eV/f.u.

Cell and atoms, written as CIF:
```
data_PrEuHoTl
_cell_length_a 5.600
_cell_length_b 5.600
_cell_length_c 5.600
_cell_angle_alpha 60.00
_cell_angle_beta 60.00
_cell_angle_gamma 60.00
_space_group_name_H-M_alt 'P 1'
_space_group_IT_number 1
loop_
_space_group_symop_operation_xyz
'x,y,z'
loop_
_atom_site_label
_atom_site_type_symbol
_atom_site_fract_x
_atom_site_fract_y
_atom_site_fract_z
Ho1 Ho 0.500 0.500 0.500
Eu1 Eu 0.250 0.250 0.250
Tl1 Tl 0.750 0.750 0.750
Pr1 Pr 0.000 0.000 0.000
```

***

Record 10
Sm2ErGa2: relaxed, PBE.

Values from the calculation:
The calculation puts the magnetization at 0.00 μB/f.u. The calculated total energy is -22.7 eV/f.u. Its excess energy over the best structure of this formula in the dataset is 0 kJ/mol of formula units.

Cell and atoms, written as CIF:
```
data_Sm2ErGa2
_cell_length_a 4.456
_cell_length_b 7.679
_cell_length_c 7.679
_cell_angle_alpha 90.00
_cell_angle_beta 90.00
_cell_angle_gamma 90.00
_space_group_name_H-M_alt 'P 1'
_space_group_IT_number 1
loop_
_space_group_symop_operation_xyz
'x,y,z'
loop_
_atom_site_label
_atom_site_type_symbol
_atom_site_fract_x
_atom_site_fract_y
_atom_site_fract_z
Sm1 Sm 0.500 0.825 0.325
Ga1 Ga 0.000 0.120 0.380
Ga2 Ga 0.000 0.380 0.880
Er1 Er 0.000 0.000 0.000
Sm2 Sm 0.500 0.325 0.175
Sm3 Sm 0.500 0.675 0.825
Ga3 Ga 0.000 0.620 0.120
Ga4 Ga 0.000 0.880 0.620
Sm4 Sm 0.500 0.175 0.675
Er2 Er 0.000 0.500 0.500
```

***

Record 11
Ho5TmHg4: relaxed, PBE.

Values from the calculation:
The calculation puts the magnetization at 0.00 μB/f.u. The calculated total energy is -32.2 eV/f.u.

Cell and atoms, written as CIF:
```
data_Ho5TmHg4
_cell_length_a 3.649
_cell_length_b 3.649
_cell_length_c 20.062
_cell_angle_alpha 90.00
_cell_angle_beta 90.00
_cell_angle_gamma 90.00
_space_group_name_H-M_alt 'P 1'
_space_group_IT_number 1
loop_
_space_group_symop_operation_xyz
'x,y,z'
loop_
_atom_site_label
_atom_site_type_symbol
_atom_site_fract_x
_atom_site_fract_y
_atom_site_fract_z
Ho1 Ho 0.500 0.500 0.689
Hg1 Hg 0.000 0.000 0.405
Ho2 Ho 0.500 0.500 0.120
Hg2 Hg 0.000 0.000 0.785
Hg3 Hg 0.000 0.000 0.215
Ho3 Ho 0.500 0.500 0.500
Hg4 Hg 0.000 0.000 0.595
Ho4 Ho 0.500 0.500 0.880
Tm1 Tm 0.000 0.000 0.000
Ho5 Ho 0.500 0.500 0.311
```

***

| no. | mass density (g cm⁻³) |
| --- | --- |
| 1 | 8.32 |
| 2 | 9.22 |
| 3 | 4.43 |
| 4 | 11.52 |
| 5 | 7.37 |
| 6 | 6.34 |
| 7 | 17.58 |
| 8 | 8.84 |
| 9 | 8.86 |
| 10 | 7.68 |
| 11 | 11.16 |